(1)
The following is a DFT calculation (GGA-PBEsol) of crystalline Ba2FeF at its relaxed geometry.

Cell: 5.205 5.205 5.205 Å, 60.00 60.00 60.00°
Element x y z (fractional)
Ba 0.250 0.250 0.250
Ba 0.750 0.750 0.750
Fe 0.000 0.000 0.000
F 0.500 0.500 0.500

Summary:
spin magnetization: 1.44 μB/f.u.
energy: -4.235 eV/atom
energy relative to the elements, uncorrected: -437 meV/atom
SG: Fm-3m (225)

(2)
The following is a DFT calculation (GGA-PBEsol) of crystalline ZrAlSi at its relaxed geometry.

Cell: 5.065 7.190 5.474 Å, 90.00 90.00 90.00°
Element x y z (fractional)
Zr 0.142 0.101 0.250
Zr 0.142 0.399 0.750
Zr 0.858 0.601 0.250
Zr 0.858 0.899 0.750
Al 0.327 0.750 0.000
Al 0.327 0.750 0.500
Al 0.673 0.250 0.000
Al 0.673 0.250 0.500
Si 0.343 0.050 0.750
Si 0.343 0.450 0.250
Si 0.657 0.550 0.750
Si 0.657 0.950 0.250

Summary:
spin magnetization: 0.00 μB/f.u.
energy: -6.919 eV/atom
energy relative to the elements, uncorrected: -609 meV/atom
SG: Pbcm (57)

(3)
The following is a DFT calculation (GGA-PBEsol) of crystalline Li2YPb at its relaxed geometry.

Cell: 5.018 5.018 5.018 Å, 60.00 60.00 60.00°
Element x y z (fractional)
Li 0.000 0.000 0.000
Li 0.250 0.250 0.250
Y 0.750 0.750 0.750
Pb 0.500 0.500 0.500

Summary:
spin magnetization: 0.00 μB/f.u.
energy: -4.020 eV/atom
formation enthalpy at 0 K: -0.331 eV/atom
SG: F-43m (216)

(4)
The following is a DFT calculation (GGA-PBEsol) of crystalline BaCdIn2As at its relaxed geometry.

Cell: 6.442 6.442 5.611 Å, 90.00 90.00 90.00°
Element x y z (fractional)
Ba 0.000 0.000 0.000
Cd 0.500 0.500 0.500
In 0.000 0.500 0.000
In 0.500 0.000 0.000
As 0.000 0.000 0.500

Summary:
spin magnetization: 0.00 μB/f.u.
energy: -2.038 eV/atom
formation enthalpy at 0 K: 0.845 eV/atom
SG: P4/mmm (123)